<P>
Density functional theory data (GGA+U) for a geometry-optimized MnRuO4 structure.

Unit cell a=5.5706 b=4.5723 c=5.5256 alpha=90.00 beta=113.64 gamma=90.00
With the nearest neighbours (Å) after each atom.
Element x y z (fractional)
Mn: 0.0000 0.0000 0.0000  6 O 1.96-2.04
Mn: 0.0000 0.5000 0.5000  6 O 1.96-2.04
Ru: 0.5000 0.0000 0.5000  6 O 1.94-1.99
Ru: 0.5000 0.5000 0.0000  6 O 1.94-1.99
O: 0.1582 0.1977 0.3417  2 Mn 1.96-2.02, 1 Ru 1.97
O: 0.1582 0.3023 0.8417  2 Mn 1.96-2.02, 1 Ru 1.97
O: 0.3505 0.7144 0.6590  2 Ru 1.94-1.99, 1 Mn 2.04
O: 0.3505 0.7856 0.1590  2 Ru 1.94-1.99, 1 Mn 2.04
O: 0.6495 0.2144 0.8410  2 Ru 1.94-1.99, 1 Mn 2.04
O: 0.6495 0.2856 0.3410  2 Ru 1.94-1.99, 1 Mn 2.04
O: 0.8418 0.6977 0.1583  2 Mn 1.96-2.02, 1 Ru 1.97
O: 0.8418 0.8023 0.6583  2 Mn 1.96-2.02, 1 Ru 1.97

Output
space-group type = P2_1/c (14)
density = 5667 kg/m³

<Q>
Density functional theory data (GGA+U) for a geometry-optimized MnRuO4 structure.

Unit cell a=5.5061 b=5.5061 c=5.5061 alpha=107.85 beta=107.85 gamma=112.76
With the nearest neighbours (Å) after each atom.
Element x y z (fractional)
Mn: 0.0000 0.0000 0.0000  6 O 1.95-2.05
Mn: 0.7500 0.2500 0.5000  6 O 1.95-2.05
Ru: 0.2438 0.7438 0.5000  6 O 1.94-1.99
Ru: 0.4938 0.4938 0.0000  6 O 1.94-1.99
O: 0.0492 0.2441 0.8051  2 Mn 1.95-1.98, 1 Ru 1.98
O: 0.4390 0.2441 0.1949  2 Mn 1.95-1.98, 1 Ru 1.98
O: 0.4897 0.1904 0.7007  2 Ru 1.94-1.99, 1 Mn 2.05
O: 0.4897 0.7889 0.2993  2 Ru 1.94-1.99, 1 Mn 2.05
O: 0.5389 0.7397 0.7993  2 Ru 1.94-1.99, 1 Mn 2.05
O: 0.9404 0.7397 0.2007  2 Ru 1.94-1.99, 1 Mn 2.05
O: 0.9941 0.2992 0.3051  2 Mn 1.95-1.98, 1 Ru 1.98
O: 0.9941 0.6890 0.6949  2 Mn 1.95-1.98, 1 Ru 1.98

Output
space-group type = I4_1md (109)
density = 5700 kg/m³

Relative energies with respect to the most stable structure, expressed in meV per atom: <P> 7; <Q> 0.

<P>
Density functional theory data (GGA+U) for a geometry-optimized Mn3RuO structure.

Unit cell a=4.2129 b=4.2129 c=4.2129 alpha=90.00 beta=90.00 gamma=90.00
With the nearest neighbours (Å) after each atom.
Element x y z (fractional)
Mn: 0.0000 0.0000 0.5000  2 O 2.11
Mn: 0.0000 0.5000 0.0000  2 O 2.11
Mn: 0.5000 0.0000 0.0000  2 O 2.11
Ru: 0.5000 0.5000 0.5000  12 Mn 2.98
O: 0.0000 0.0000 0.0000  6 Mn 2.11

Output
space-group type = Pm-3m (221)
density = 6260 kg/m³

<Q>
Density functional theory data (GGA+U) for a geometry-optimized Mn3RuO structure.

Unit cell a=4.8570 b=4.8570 c=4.8570 alpha=90.00 beta=90.00 gamma=90.00
With the nearest neighbours (Å) after each atom.
Element x y z (fractional)
Mn: 0.0000 0.0000 0.5000  2 Ru 2.43
Mn: 0.0000 0.5000 0.0000  2 Ru 2.43
Mn: 0.5000 0.0000 0.0000  2 Ru 2.43
Ru: 0.0000 0.0000 0.0000  6 Mn 2.43
O: 0.5000 0.5000 0.5000  12 Mn 3.43

Output
space-group type = Pm-3m (221)
density = 4085 kg/m³

Relative energies with respect to the most stable structure, expressed in meV per atom: <P> 0; <Q> 1296.